Entry from Alexandria via LeMat-Bulk: a relaxed structure of Ta3VF (GGA+U).

POSCAR file:
```
Ta3VF
1.0
-0.434 -4.084 1.393
1.318 -1.458 -3.866
4.109 0.036 1.387
Ta V F
3 1 1
Direct
0.000 0.500 0.000
0.500 0.000 0.000
0.000 0.000 0.500
0.500 0.500 0.500
0.000 0.000 0.000
```

## Properties
total magnetization	2.2	μB per formula unit
SG	Pm-3m, No. 221
distance to the lowest polymorph of the same formula	0.0	meV/atom